Record 1
A geometry-optimized Be2CdIr structure, computed with PBE.

* calculated formation energy: 0.151 eV/atom

Geometry as CIF:
```
data_Be2CdIr
_cell_length_a 2.9194
_cell_length_b 4.7243
_cell_length_c 7.9684
_cell_angle_alpha 90.00
_cell_angle_beta 90.00
_cell_angle_gamma 90.00
_symmetry_space_group_name_H-M 'C m m m'
_symmetry_Int_Tables_number 65
_symmetry_space_group_name_Hall '-C 2 2'
loop_
_atom_site_label
_atom_site_type_symbol
_atom_site_fract_x
_atom_site_fract_y
_atom_site_fract_z
Be1 Be 0.0000 0.0000 0.2176
Cd1 Cd 0.0000 0.5000 0.5000
Ir1 Ir 0.0000 0.5000 0.0000
```

Record 2
A geometry-optimized ZnOsSe2 structure, computed with PBE.

* E_form (uncorrected): 0.125 eV per atom

Geometry as CIF:
```
data_ZnOsSe2
_cell_length_a 3.8471
_cell_length_b 3.8471
_cell_length_c 21.6178
_cell_angle_alpha 90.00
_cell_angle_beta 90.00
_cell_angle_gamma 120.00
_symmetry_space_group_name_H-M 'R -3 m'
_symmetry_Int_Tables_number 166
_symmetry_space_group_name_Hall '-R 3 2"'
loop_
_atom_site_label
_atom_site_type_symbol
_atom_site_fract_x
_atom_site_fract_y
_atom_site_fract_z
Zn1 Zn 0.0000 0.0000 0.0000
Os1 Os 0.0000 0.0000 0.5000
Se1 Se 0.0000 0.0000 0.1122
```

Number 1: density of states at the Fermi level 0.9 states/eV/f.u.. Number 2: density of states at the Fermi level 0.5 states/eV/f.u..